Entry from the Alexandria database: crystalline NaSr8LaTi10O30 at its relaxed geometry (PBE-GGA).

POSCAR file:
```
NaSr8LaTi10O30
1.0
5.567 0.000 0.000
0.000 5.567 0.000
0.000 0.000 19.682
O Ti Sr Na La
30 10 8 1 1
direct
0.000 0.500 0.400
0.500 0.000 0.600
0.744 0.256 0.902
0.750 0.750 0.299
0.500 0.000 0.000
0.250 0.750 0.299
0.250 0.250 0.500
0.750 0.750 0.701
0.000 0.500 0.600
0.256 0.256 0.098
0.744 0.744 0.902
0.500 0.000 0.801
0.000 0.500 0.801
0.250 0.750 0.500
0.256 0.744 0.902
0.750 0.250 0.701
0.744 0.256 0.098
0.750 0.250 0.500
0.256 0.256 0.902
0.750 0.250 0.299
0.744 0.744 0.098
0.750 0.750 0.500
0.250 0.250 0.701
0.500 0.000 0.400
0.000 0.500 0.199
0.250 0.250 0.299
0.256 0.744 0.098
0.500 0.000 0.199
0.250 0.750 0.701
0.000 0.500 0.000
0.000 0.500 0.901
0.500 0.000 0.299
0.500 0.000 0.500
0.500 0.000 0.901
0.500 0.000 0.099
0.000 0.500 0.099
0.000 0.500 0.500
0.000 0.500 0.701
0.000 0.500 0.299
0.500 0.000 0.701
0.500 0.500 0.600
0.000 0.000 0.198
0.000 0.000 0.400
0.500 0.500 0.200
0.000 0.000 0.802
0.000 0.000 0.600
0.500 0.500 0.400
0.500 0.500 0.800
0.000 0.000 0.000
0.500 0.500 0.000
```

* space-group type: P4/mmm, No. 123
* formation energy (no corrections): -3.107 eV per atom
* calculated density: 4.96 Mg/m³